A plane-wave DFT calculation with meta-GGA SCAN was carried out for YCrMo2 at its PBEsol-relaxed geometry.

abc: 3.1111 3.1111 7.0466
angles: 90.00 90.00 90.00
Site moments in Bohr magnetons follow the coordinates.
Positions (direct):
Mo  0.0000  0.0000  0.9886  -0.68
Mo  0.5000  0.5000  0.2014  0.54
Y  0.0000  0.0000  0.5076  -0.08
Cr  0.5000  0.5000  0.8024  2.33

- magnetization (μB/cell) = 2.23
- relative energy among the computed polymorphs (eV/atom) = 0.000
- V (Å³ per atom) = 17.1
- energy of formation from the pure elements (eV/atom) = 0.32
- final energy (eV/f.u.) = -114.74
- ρ (kg/m3) = 8102